Record 1
BaTaRh2: relaxed, GGA-PBEsol.

Calculated values
Energy of formation from the pure elements   -0.09 eV/atom

Lattice parameters (Å, degrees): 4.245 4.240 7.727 123.27 90.00 120.04
Sites, in units of the cell vectors:
1 Ta 0.625 0.250 0.750
2 Rh 0.210 0.421 0.628
3 Rh 0.040 0.079 0.872
4 Ba 0.625 0.250 0.250

=====

Record 2
YPb: relaxed, GGA-PBEsol.

Calculated values
Energy of formation from the pure elements   -0.49 eV/atom

Lattice parameters (Å, degrees): 4.644 4.644 6.517 90.00 90.00 120.00
Sites, in units of the cell vectors:
1 Y 0.333 0.667 0.250
2 Pb 0.000 0.000 0.500
3 Y 0.667 0.333 0.750
4 Pb 0.000 0.000 0.000

=====

Record 3
YNi2: relaxed, GGA-PBEsol.

Calculated values
Energy of formation from the pure elements   -0.44 eV/atom

Lattice parameters (Å, degrees): 4.992 4.992 4.992 60.00 60.00 60.00
Sites, in units of the cell vectors:
1 Ni 0.625 0.125 0.625
2 Y 0.000 0.000 0.000
3 Ni 0.625 0.625 0.125
4 Y 0.250 0.250 0.250
5 Ni 0.125 0.625 0.625
6 Ni 0.625 0.625 0.625

=====

Record 4
Pt3W5: relaxed, GGA-PBEsol.

Calculated values
Energy of formation from the pure elements   -0.13 eV/atom

Lattice parameters (Å, degrees): 3.881 5.602 5.602 91.63 90.00 90.00
Sites, in units of the cell vectors:
1 W 0.000 0.000 0.000
2 W 0.000 0.500 0.000
3 Pt 0.500 0.255 0.255
4 W 0.500 0.250 0.750
5 W 0.500 0.750 0.250
6 Pt 0.500 0.745 0.745
7 Pt 0.000 0.500 0.500
8 W 0.000 0.000 0.500

=====

Record 5
SrCa3Ir: relaxed, GGA-PBEsol.

Calculated values
Energy of formation from the pure elements   -0.14 eV/atom

Lattice parameters (Å, degrees): 5.579 5.579 5.579 90.00 90.00 90.00
Sites, in units of the cell vectors:
1 Sr 0.500 0.500 0.500
2 Ca 0.000 0.500 0.000
3 Ca 0.000 0.000 0.500
4 Ca 0.500 0.000 0.000
5 Ir 0.000 0.000 0.000

=====

Record 6
CsNaEuNb5O15: relaxed, GGA-PBEsol.

Calculated values
Uncorrected formation energy   -2574 meV per atom

Lattice parameters (Å, degrees): 7.644 7.848 10.600 90.00 90.00 90.00
Sites, in units of the cell vectors:
1 O 0.183 0.974 0.000
2 O 0.183 0.474 0.000
3 O 0.000 0.930 0.222
4 O 0.199 0.724 0.829
5 O 0.000 0.520 0.221
6 O 0.817 0.474 0.000
7 O 0.688 0.469 0.368
8 O 0.500 0.444 0.142
9 Eu 0.000 0.723 0.016
10 Cs 0.000 0.230 0.513
11 Na 0.500 0.222 0.990
12 O 0.500 0.005 0.142
13 Nb 0.254 0.472 0.806
14 O 0.728 0.224 0.839
15 O 0.272 0.724 0.161
16 O 0.500 0.944 0.858
17 Nb 0.746 0.472 0.806
18 Nb 0.254 0.972 0.194
19 Nb 0.500 0.498 0.499
20 Nb 0.500 0.998 0.501
21 O 0.312 0.481 0.632
22 O 0.272 0.224 0.839
23 O 0.817 0.974 0.000
24 Nb 0.253 0.468 0.193
25 O 0.728 0.724 0.161
26 O 0.500 0.505 0.858
27 Nb 0.747 0.468 0.193
28 O 0.688 0.981 0.368
29 O 0.500 0.731 0.493
30 Nb 0.747 0.968 0.807
31 Nb 0.746 0.972 0.194
32 Cs 0.000 0.730 0.487
33 Nb 0.253 0.968 0.807
34 O 0.000 0.430 0.778
35 O 0.312 0.969 0.632
36 O 0.312 0.981 0.368
37 Eu 0.000 0.223 0.984
38 O 0.688 0.969 0.632
39 O 0.801 0.724 0.829
40 O 0.801 0.224 0.171
41 O 0.500 0.231 0.507
42 O 0.688 0.481 0.632
43 O 0.199 0.224 0.171
44 O 0.312 0.469 0.368
45 Na 0.500 0.722 0.010
46 O 0.000 0.020 0.779

=====

Record 7
IrCSCl2: relaxed, GGA-PBEsol.

Calculated values
Uncorrected formation energy   1646 meV per atom

Lattice parameters (Å, degrees): 3.992 3.992 4.332 90.00 90.00 90.00
Sites, in units of the cell vectors:
1 C 0.000 0.000 0.000
2 Cl 0.500 0.000 0.000
3 Cl 0.000 0.500 0.000
4 Ir 0.500 0.500 0.500
5 S 0.000 0.000 0.500

=====

Record 8
Fe3H9S2O15: relaxed, GGA-PBEsol.

Calculated values
Final energy   -177.58 eV/cell

Lattice parameters (Å, degrees): 6.958 6.958 6.958 62.58 62.58 62.58
Sites, in units of the cell vectors:
1 H 0.295 0.681 0.681
2 H 0.891 0.109 0.891
3 H 0.681 0.295 0.681
4 O 0.172 0.509 0.172
5 O 0.739 0.125 0.739
6 O 0.598 0.598 0.598
7 O 0.739 0.739 0.125
8 H 0.711 0.308 0.308
9 O 0.879 0.271 0.271
10 H 0.308 0.711 0.308
11 O 0.271 0.879 0.271
12 H 0.681 0.681 0.295
13 O 0.509 0.172 0.172
14 H 0.109 0.891 0.891
15 O 0.125 0.739 0.739
16 O 0.491 0.829 0.829
17 S 0.313 0.313 0.313
18 S 0.687 0.687 0.687
19 O 0.829 0.491 0.829
20 O 0.172 0.172 0.509
21 H 0.891 0.891 0.109
22 O 0.403 0.403 0.403
23 Fe 0.496 0.001 0.001
24 O 0.829 0.829 0.491
25 Fe 0.001 0.001 0.496
26 Fe 0.001 0.496 0.001
27 O 0.271 0.271 0.879
28 O 0.991 0.991 0.991
29 H 0.308 0.308 0.711

=====

Record 9
NaHfTe2Br: relaxed, GGA-PBEsol.

Calculated values
Uncorrected formation energy   894 meV per atom

Lattice parameters (Å, degrees): 5.149 5.149 5.578 90.00 90.00 90.00
Sites, in units of the cell vectors:
1 Na 0.000 0.000 0.000
2 Te 0.000 0.500 0.000
3 Br 0.500 0.500 0.500
4 Te 0.500 0.000 0.000
5 Hf 0.000 0.000 0.500

=====

Record 10
Na2Cd2Ir: relaxed, GGA-PBEsol.

Calculated values
Energy of formation from the pure elements   0.71 eV/atom

Lattice parameters (Å, degrees): 5.057 5.213 5.057 119.01 90.00 119.01
Sites, in units of the cell vectors:
1 Cd 0.750 0.500 0.250
2 Ir 0.000 0.000 0.000
3 Na 0.360 0.719 0.360
4 Cd 0.250 0.500 0.750
5 Na 0.640 0.281 0.640

=====

Record 11
NbCrN2: relaxed, GGA-PBEsol.

Calculated values
Uncorrected formation energy   -159 meV per atom

Lattice parameters (Å, degrees): 3.001 3.001 6.171 75.93 75.93 60.00
Sites, in units of the cell vectors:
1 Cr 0.500 0.500 0.500
2 N 0.112 0.112 0.664
3 N 0.888 0.888 0.336
4 Nb 0.000 0.000 0.000

=====

Record 12
HgC2: relaxed, GGA-PBEsol.

Calculated values
Energy of formation from the pure elements   0.63 eV/atom

Lattice parameters (Å, degrees): 2.581 5.868 5.914 113.50 102.61 90.00
Sites, in units of the cell vectors:
1 C 0.929 0.644 0.857
2 C 0.538 0.424 0.075
3 C 0.462 0.576 0.925
4 Hg 0.817 0.868 0.634
5 Hg 0.183 0.132 0.366
6 C 0.071 0.356 0.143

=====

Record 13
MnBPd2: relaxed, GGA-PBEsol.

Calculated values
Energy of formation from the pure elements   0.07 eV/atom

Lattice parameters (Å, degrees): 4.894 5.264 5.264 77.52 62.29 62.29
Sites, in units of the cell vectors:
1 Pd 0.875 0.593 0.907
2 B 0.500 0.000 0.000
3 Mn 0.750 0.500 0.500
4 Mn 0.000 0.000 0.000
5 Pd 0.532 0.093 0.593
6 Pd 0.218 0.907 0.407
7 Pd 0.375 0.407 0.093
8 B 0.250 0.500 0.500

=====

Record 14
Sc2BeOsF: relaxed, GGA-PBEsol.

Calculated values
Uncorrected formation energy   -179 meV per atom

Lattice parameters (Å, degrees): 4.215 4.215 4.245 90.00 90.00 90.00
Sites, in units of the cell vectors:
1 Be 0.500 0.500 0.500
2 Os 0.000 0.000 0.500
3 F 0.000 0.000 0.000
4 Sc 0.000 0.500 0.000
5 Sc 0.500 0.000 0.000

=====

Record 15
Ca3BRu: relaxed, GGA-PBEsol.

Calculated values
Energy of formation from the pure elements   1.06 eV/atom

Lattice parameters (Å, degrees): 5.213 5.213 5.213 90.00 90.00 90.00
Sites, in units of the cell vectors:
1 Ru 0.000 0.000 0.000
2 Ca 0.000 0.500 0.000
3 B 0.500 0.500 0.500
4 Ca 0.500 0.000 0.000
5 Ca 0.000 0.000 0.500

=====

Record 16
LaRu2Au: relaxed, GGA-PBEsol.

Calculated values
Energy of formation from the pure elements   0.13 eV/atom

Lattice parameters (Å, degrees): 3.197 3.197 7.272 90.00 90.00 90.00
Sites, in units of the cell vectors:
1 La 0.500 0.500 0.760
2 Ru 0.000 0.000 0.066
3 Ru 0.500 0.500 0.215
4 Au 0.000 0.000 0.458

=====

Record 17
Li2CoAs: relaxed, GGA-PBEsol.

Calculated values
Energy of formation from the pure elements   -0.10 eV/atom

Lattice parameters (Å, degrees): 2.734 4.680 4.680 120.37 90.00 90.00
Sites, in units of the cell vectors:
1 Co 0.500 0.500 0.500
2 Li 0.000 0.500 0.000
3 Li 0.000 0.000 0.500
4 As 0.500 0.000 0.000

=====

Record 18
MnFe2Se: relaxed, GGA-PBEsol.

Calculated values
Uncorrected formation energy   265 meV per atom

Lattice parameters (Å, degrees): 3.530 3.530 4.380 113.76 113.76 90.00
Sites, in units of the cell vectors:
1 Se 0.250 0.750 0.500
2 Mn 0.500 0.500 0.000
3 Fe 0.000 0.000 0.000
4 Fe 0.750 0.250 0.500

=====

Record 19
B5H9: relaxed, GGA-PBEsol.

Calculated values
Final energy   -520.98 eV/cell

Lattice parameters (Å, degrees): 9.591 9.957 9.957 90.00 90.00 90.00
Sites, in units of the cell vectors:
1 B 0.570 0.211 0.720
2 B 0.002 0.623 0.280
3 H 0.980 0.130 0.369
4 H 0.980 0.873 0.218
5 H 0.140 0.181 0.192
6 B 0.502 0.377 0.720
7 B 0.460 0.809 0.299
8 B 0.373 0.265 0.245
9 H 0.386 0.642 0.855
10 B 0.515 0.644 0.340
11 H 0.415 0.434 0.977
12 B 0.869 0.163 0.325
13 B 0.873 0.735 0.755
14 H 0.223 0.244 0.443
15 B 0.456 0.359 0.893
16 H 0.136 0.340 0.300
17 H 0.127 0.782 0.622
18 H 0.730 0.369 0.870
19 B 0.269 0.132 0.213
20 H 0.283 0.037 0.141
21 H 0.713 0.348 0.266
22 H 0.877 0.622 0.218
23 H 0.227 0.085 0.334
24 B 0.765 0.660 0.644
25 B 0.074 0.380 0.828
26 H 0.003 0.532 0.358
27 H 0.136 0.855 0.358
28 H 0.296 0.977 0.890
29 B 0.206 0.893 0.641
30 B 0.619 0.325 0.837
31 H 0.730 0.218 0.127
32 B 0.119 0.675 0.163
33 B 0.519 0.787 0.132
34 H 0.796 0.023 0.110
35 B 0.274 0.893 0.807
36 H 0.480 0.870 0.631
37 H 0.473 0.557 0.244
38 H 0.636 0.660 0.700
39 H 0.377 0.378 0.782
40 H 0.025 0.420 0.558
41 H 0.484 0.297 0.201
42 H 0.919 0.097 0.637
43 H 0.230 0.631 0.130
44 B 0.960 0.191 0.701
45 H 0.477 0.666 0.085
46 H 0.643 0.087 0.239
47 B 0.123 0.245 0.735
48 H 0.253 0.642 0.532
49 H 0.753 0.358 0.468
50 B 0.265 0.340 0.356
51 B 0.524 0.193 0.893
52 B 0.956 0.641 0.107
53 B 0.752 0.280 0.377
54 H 0.783 0.963 0.859
55 H 0.533 0.859 0.037
56 H 0.775 0.558 0.580
57 B 0.623 0.755 0.265
58 B 0.324 0.172 0.380
59 H 0.419 0.903 0.363
60 H 0.890 0.192 0.819
61 B 0.369 0.837 0.675
62 H 0.169 0.363 0.097
63 H 0.886 0.300 0.660
64 H 0.234 0.201 0.703
65 H 0.915 0.566 0.023
66 H 0.480 0.127 0.782
67 H 0.639 0.535 0.116
68 B 0.210 0.299 0.191
69 H 0.889 0.884 0.535
70 H 0.525 0.580 0.442
71 H 0.275 0.442 0.420
72 H 0.723 0.756 0.557
73 B 0.015 0.356 0.660
74 H 0.627 0.218 0.378
75 B 0.070 0.789 0.280
76 B 0.019 0.213 0.868
77 B 0.252 0.720 0.623
78 H 0.213 0.652 0.734
79 H 0.139 0.465 0.884
80 H 0.984 0.703 0.799
81 H 0.463 0.266 0.652
82 B 0.710 0.701 0.809
83 B 0.320 0.720 0.789
84 B 0.769 0.868 0.787
85 H 0.503 0.468 0.642
86 H 0.046 0.890 0.023
87 H 0.546 0.110 0.977
88 H 0.727 0.915 0.666
89 B 0.024 0.807 0.107
90 H 0.886 0.358 0.145
91 H 0.386 0.700 0.340
92 H 0.143 0.913 0.761
93 B 0.820 0.280 0.211
94 H 0.973 0.443 0.756
95 B 0.574 0.620 0.172
96 H 0.640 0.819 0.808
97 H 0.665 0.023 0.434
98 H 0.165 0.977 0.566
99 H 0.977 0.334 0.915
100 B 0.774 0.107 0.193
101 H 0.669 0.637 0.903
102 H 0.033 0.141 0.963
103 B 0.824 0.828 0.620
104 H 0.636 0.145 0.642
105 H 0.389 0.116 0.465
106 H 0.390 0.808 0.181
107 H 0.893 0.761 0.087
108 H 0.734 0.799 0.297
109 H 0.393 0.239 0.913
110 H 0.963 0.734 0.348
111 H 0.230 0.782 0.873
112 B 0.706 0.107 0.359